DFT (PBE-GGA) results for a relaxed structure of BaNaMg2Pt.

Properties
**Size of the total moment**: 0.0 μB/cell
**DFT formation energy**: -0.29 eV per atom
**Electronic total energy**: -13.91 eV/cell
**Relative energy among the computed polymorphs**: 0.035 eV per atom

Geometry as CIF:
```
data_BaNaMg2Pt
_space_group_name_H-M_alt 'P 4/m m m'
_space_group_IT_number 123
_space_group_name_Hall '-P 4 2'
_cell_length_a 5.161
_cell_length_b 5.161
_cell_length_c 5.609
_cell_angle_alpha 90.00
_cell_angle_beta 90.00
_cell_angle_gamma 90.00
loop_
_atom_site_label
_atom_site_type_symbol
_atom_site_fract_x
_atom_site_fract_y
_atom_site_fract_z
Ba1 Ba 0.000 0.000 0.000
Na1 Na 0.500 0.500 0.000
Mg1 Mg 0.000 0.500 0.500
Pt1 Pt 0.500 0.500 0.500
```

***

DFT (PBE-GGA) results for a relaxed structure of RbBaNaMg.

Properties
**Size of the total moment**: 0.0 μB/cell
**DFT formation energy**: 0.14 eV per atom
**Electronic total energy**: -21.05 eV/cell

Geometry as CIF:
```
data_RbBaNaMg
_space_group_name_H-M_alt 'F -4 3 m'
_space_group_IT_number 216
_space_group_name_Hall 'F -4 2 3'
_cell_length_a 9.231
_cell_length_b 9.231
_cell_length_c 9.231
_cell_angle_alpha 90.00
_cell_angle_beta 90.00
_cell_angle_gamma 90.00
loop_
_atom_site_label
_atom_site_type_symbol
_atom_site_fract_x
_atom_site_fract_y
_atom_site_fract_z
Rb1 Rb 0.000 0.000 0.000
Ba1 Ba 0.000 0.000 0.500
Na1 Na 0.250 0.250 0.750
Mg1 Mg 0.250 0.250 0.250
```

***

DFT (PBE-GGA) results for a relaxed structure of Ba2NaMgRh.

Properties
**Size of the total moment**: 0.0 μB/cell
**DFT formation energy**: -0.14 eV per atom
**Electronic total energy**: -14.80 eV/cell

Geometry as CIF:
```
data_Ba2NaMgRh
_space_group_name_H-M_alt 'P 4/m m m'
_space_group_IT_number 123
_space_group_name_Hall '-P 4 2'
_cell_length_a 6.098
_cell_length_b 6.098
_cell_length_c 5.226
_cell_angle_alpha 90.00
_cell_angle_beta 90.00
_cell_angle_gamma 90.00
loop_
_atom_site_label
_atom_site_type_symbol
_atom_site_fract_x
_atom_site_fract_y
_atom_site_fract_z
Ba1 Ba 0.000 0.500 0.000
Na1 Na 0.000 0.000 0.500
Mg1 Mg 0.500 0.500 0.500
Rh1 Rh 0.500 0.500 0.000
```

***

DFT (PBE-GGA) results for a relaxed structure of BaNaMg2Sc.

Properties
**Size of the total moment**: 0.0 μB/cell
**DFT formation energy**: 0.50 eV per atom
**Electronic total energy**: -10.25 eV/cell

Geometry as CIF:
```
data_BaNaMg2Sc
_space_group_name_H-M_alt 'P 4/m m m'
_space_group_IT_number 123
_space_group_name_Hall '-P 4 2'
_cell_length_a 5.530
_cell_length_b 5.530
_cell_length_c 5.618
_cell_angle_alpha 90.00
_cell_angle_beta 90.00
_cell_angle_gamma 90.00
loop_
_atom_site_label
_atom_site_type_symbol
_atom_site_fract_x
_atom_site_fract_y
_atom_site_fract_z
Ba1 Ba 0.000 0.000 0.000
Na1 Na 0.500 0.500 0.500
Mg1 Mg 0.000 0.500 0.500
Sc1 Sc 0.500 0.500 0.000
```

***

DFT (PBE-GGA) results for a relaxed structure of BaNa2MgSi.

Properties
**Size of the total moment**: 0.0 μB/cell
**E_form (uncorrected)**: 0.636 eV per atom
**Electronic total energy**: -8.40 eV/cell

Geometry as CIF:
```
data_BaNa2MgSi
_space_group_name_H-M_alt 'P 4/m m m'
_space_group_IT_number 123
_space_group_name_Hall '-P 4 2'
_cell_length_a 5.492
_cell_length_b 5.492
_cell_length_c 6.641
_cell_angle_alpha 90.00
_cell_angle_beta 90.00
_cell_angle_gamma 90.00
loop_
_atom_site_label
_atom_site_type_symbol
_atom_site_fract_x
_atom_site_fract_y
_atom_site_fract_z
Ba1 Ba 0.000 0.000 0.000
Na1 Na 0.000 0.500 0.500
Mg1 Mg 0.000 0.000 0.500
Si1 Si 0.500 0.500 0.000
```

***

DFT (PBE-GGA) results for a relaxed structure of BaNa2MgSn.

Properties
**Size of the total moment**: 0.1 μB/cell
**DFT formation energy**: 0.00 eV per atom
**Electronic total energy**: -10.17 eV/cell

Geometry as CIF:
```
data_BaNa2MgSn
_space_group_name_H-M_alt 'P 4/m m m'
_space_group_IT_number 123
_space_group_name_Hall '-P 4 2'
_cell_length_a 5.733
_cell_length_b 5.733
_cell_length_c 5.555
_cell_angle_alpha 90.00
_cell_angle_beta 90.00
_cell_angle_gamma 90.00
loop_
_atom_site_label
_atom_site_type_symbol
_atom_site_fract_x
_atom_site_fract_y
_atom_site_fract_z
Ba1 Ba 0.000 0.000 0.000
Na1 Na 0.000 0.500 0.500
Mg1 Mg 0.500 0.500 0.500
Sn1 Sn 0.500 0.500 0.000
```

***

DFT (PBE-GGA) results for a relaxed structure of BaNaSrMg.

Properties
**Size of the total moment**: 0.0 μB/cell
**DFT formation energy**: -0.03 eV per atom
**Electronic total energy**: -6.64 eV/cell

Geometry as CIF:
```
data_BaNaSrMg
_space_group_name_H-M_alt 'P 4 m m'
_space_group_IT_number 99
_cell_length_a 4.323
_cell_length_b 4.323
_cell_length_c 9.320
_cell_angle_alpha 90.00
_cell_angle_beta 90.00
_cell_angle_gamma 90.00
loop_
_space_group_symop_operation_xyz
'x,y,z'
'-y,x,z'
'-x,-y,z'
'y,-x,z'
'-x,y,z'
'y,x,z'
'x,-y,z'
'-y,-x,z'
loop_
_atom_site_label
_atom_site_type_symbol
_atom_site_fract_x
_atom_site_fract_y
_atom_site_fract_z
Ba1 Ba 0.000 0.000 0.000
Na1 Na 0.500 0.500 0.290
Sr1 Sr 0.000 0.000 0.553
Mg1 Mg 0.500 0.500 0.764
```

***

DFT (PBE-GGA) results for a relaxed structure of BaNaMgTl3.

Properties
**Size of the total moment**: 0.0 μB/cell
**DFT formation energy**: -0.10 eV per atom
**Electronic total energy**: -50.03 eV/cell

Geometry as CIF:
```
data_BaNaMgTl3
_space_group_name_H-M_alt 'C m c m'
_space_group_IT_number 63
_space_group_name_Hall '-C 2c 2'
_cell_length_a 7.377
_cell_length_b 14.774
_cell_length_c 7.312
_cell_angle_alpha 90.00
_cell_angle_beta 90.00
_cell_angle_gamma 90.00
loop_
_atom_site_label
_atom_site_type_symbol
_atom_site_fract_x
_atom_site_fract_y
_atom_site_fract_z
Ba1 Ba 0.000 0.188 0.250
Na1 Na 0.000 0.417 0.250
Mg1 Mg 0.000 0.136 0.750
Tl1 Tl 0.000 0.358 0.750
Tl2 Tl 0.216 0.000 0.000
```

***

What did the second record say?
DFT (PBE-GGA) results for a relaxed structure of RbBaNaMg.

Properties
**Size of the total moment**: 0.0 μB/cell
**DFT formation energy**: 0.14 eV per atom
**Electronic total energy**: -21.05 eV/cell

Geometry as CIF:
```
data_RbBaNaMg
_space_group_name_H-M_alt 'F -4 3 m'
_space_group_IT_number 216
_space_group_name_Hall 'F -4 2 3'
_cell_length_a 9.231
_cell_length_b 9.231
_cell_length_c 9.231
_cell_angle_alpha 90.00
_cell_angle_beta 90.00
_cell_angle_gamma 90.00
loop_
_atom_site_label
_atom_site_type_symbol
_atom_site_fract_x
_atom_site_fract_y
_atom_site_fract_z
Rb1 Rb 0.000 0.000 0.000
Ba1 Ba 0.000 0.000 0.500
Na1 Na 0.250 0.250 0.750
Mg1 Mg 0.250 0.250 0.250
```